1.
Material: Nd2HoErSe6
Method: DFT, PBE
State: relaxed

Cell lengths 7.3302, 7.3302, 7.7529 Å; angles 61.79, 61.79, 60.00 degrees
With the nearest neighbours (Å) after each atom.
Fractional coordinates of all 10 atoms:
Nd  0.5197  0.5197  0.4409  6 Se 2.94-3.02
Nd  0.0197  0.0198  0.9408  6 Se 2.94-3.02
Ho  0.3191  0.3190  0.0428  6 Se 2.83-2.89
Er  0.8191  0.8193  0.5424  6 Se 2.82-2.88
Se  0.6024  0.2033  0.2585  1 Ho 2.83, 1 Er 2.88, 2 Nd 2.94-3.02
Se  0.2033  0.9357  0.2585  1 Ho 2.83, 1 Er 2.88, 2 Nd 2.94-3.02
Se  0.9358  0.6024  0.2586  1 Ho 2.83, 1 Er 2.88, 2 Nd 2.94-3.02
Se  0.4367  0.7043  0.7576  1 Er 2.82, 1 Ho 2.89, 2 Nd 2.94-3.02
Se  0.7043  0.1014  0.7576  1 Er 2.82, 1 Ho 2.89, 2 Nd 2.94-3.02
Se  0.1014  0.4368  0.7576  1 Er 2.82, 1 Ho 2.89, 2 Nd 2.94-3.02

## Properties
ΔE_f (raw): -1.842 eV per atom
Fermi-level density of states: 0.000 states/eV/f.u.

2.
Material: YAlSb2
Method: DFT, PBE
State: relaxed

Cell lengths 6.1321, 6.1321, 6.1321 Å; angles 139.04, 138.27, 59.90 degrees
With the nearest neighbours (Å) after each atom.
Fractional coordinates of all 4 atoms:
Y  0.4991  0.4991  0.0000  8 Sb 3.06-3.43, 2 Al 3.42
Sb  0.0020  0.0020  0.0000  4 Y 3.06, 2 Al 3.39, 4 Sb 3.43
Sb  0.7505  0.2505  0.5000  4 Al 3.06, 4 Y 3.43, 4 Sb 3.43
Al  0.2484  0.7484  0.5000  6 Sb 3.06-3.39, 2 Y 3.42

## Properties
ΔE_f (raw): -0.409 eV per atom
Fermi-level density of states: 2.346 states/eV/f.u.

3.
Material: Ac3Ag4Pd4
Method: DFT, PBE
State: relaxed

Cell lengths 4.0328, 4.4101, 15.3098 Å; angles 81.49, 82.51, 90.01 degrees
With the nearest neighbours (Å) after each atom.
Fractional coordinates of all 11 atoms:
Ac  0.1498  0.6505  0.7008  4 Pd 3.19-3.20, 6 Ag 3.38-3.57
Ac  0.8502  0.3495  0.2992  4 Pd 3.19-3.20, 6 Ag 3.38-3.57
Ac  0.0000  0.0000  0.0000  8 Pd 3.27-3.28, 4 Ag 3.53-3.54
Ag  0.5967  0.0975  0.8067  3 Pd 2.70-2.72
Ag  0.2523  0.2518  0.4951  4 Pd 2.81-2.86, 4 Ag 2.99-3.00
Ag  0.7477  0.7482  0.5049  4 Pd 2.81-2.86, 4 Ag 2.99-3.00
Ag  0.4033  0.9025  0.1934  3 Pd 2.70-2.72
Pd  0.5440  0.5440  0.9105  1 Pd 2.69, 2 Ag 2.70
Pd  0.4560  0.4560  0.0895  1 Pd 2.69, 2 Ag 2.70
Pd  0.3121  0.8128  0.3744  5 Ag 2.72-2.86
Pd  0.6880  0.1872  0.6256  5 Ag 2.72-2.86

## Properties
Formation enthalpy at 0 K: -48 kJ per mole of atoms
Fermi-level density of states: 5.359 states/eV/f.u.